# FeIr2F (GGA+U, optimized geometry)
# total energy	-23.32	eV per formula unit
# crystal system	cubic
# density	14.0	g cm⁻³
data_FeIr2F
_chemical_formula_sum 'Fe4 Ir8 F4'
_symmetry_space_group_name_H-M 'F m -3 m'
_symmetry_Int_Tables_number 225
_symmetry_space_group_name_Hall '-F 4 2 3'
_cell_length_a 6.0140
_cell_length_b 6.0140
_cell_length_c 6.0140
_cell_angle_alpha 90.00
_cell_angle_beta 90.00
_cell_angle_gamma 90.00
loop_
_atom_site_label
_atom_site_fract_x
_atom_site_fract_y
_atom_site_fract_z
Fe1 0.0000 0.0000 0.0000
Ir1 0.2500 0.2500 0.2500
F1 0.0000 0.0000 0.5000